Entry 1:
Ac3LaZn4 after structural relaxation. Source: the Alexandria database, functional PBE-GGA.

a b c (Å): 3.8775 3.8775 15.4799
angles (deg): 90.00 90.00 90.00
Closest atoms and distances in Å follow each position.
Space group P4/mmm (No. 123)
Unique sites:
Ac (0.0000, 0.0000, 0.0000) (multiplicity 1)  8 Zn 3.37
Ac (0.0000, 0.0000, 0.2551) (multiplicity 2)  8 Zn 3.38-3.40
La (0.0000, 0.0000, 0.5000) (multiplicity 1)  8 Zn 3.27
Zn (0.5000, 0.5000, 0.1269) (multiplicity 2)  8 Ac 3.37-3.38
Zn (0.5000, 0.5000, 0.3854) (multiplicity 2)  4 La 3.27, 4 Ac 3.40, 1 Zn 3.55

Computed properties:
Energy of formation from the pure elements (eV per atom): -0.26
V (Å³ per atom): 29.09
Magnetization (Bohr magnetons per cell): 0.00



Entry 2:
Pm2Sm4Y3 after structural relaxation. Source: the Alexandria database, functional PBE-GGA.

a b c (Å): 16.4331 11.7876 6.2271
angles (deg): 90.00 96.12 90.00
Closest atoms and distances in Å follow each position.
Space group C2/c (No. 15)
Unique sites:
Pm (0.1193, 0.1412, 0.3184) (multiplicity 8)  4 Sm 3.34-3.66, 4 Y 3.46-3.54
Sm (0.0476, 0.3598, 0.0148) (multiplicity 8)  1 Pm 3.34, 4 Y 3.44-3.54, 3 Sm 3.46-3.65
Sm (0.2145, 0.1400, 0.8480) (multiplicity 8)  1 Sm 3.35, 4 Y 3.44-3.54, 3 Pm 3.46-3.66
Y (0.0000, 0.1004, 0.7500) (multiplicity 4)  4 Pm 3.46-3.52, 4 Sm 3.52-3.54
Y (0.1664, 0.3997, 0.5845) (multiplicity 8)  6 Sm 3.44-3.54, 2 Pm 3.51-3.54

Computed properties:
Energy of formation from the pure elements (eV per atom): 0.09
V (Å³ per atom): 33.32
Magnetization (Bohr magnetons per cell): 0.00
Energy relative to the lowest polymorph listed for this composition (meV per atom): 70



Entry 3:
Pa2NbHg after structural relaxation. Source: the Alexandria database, functional PBE-GGA.

a b c (Å): 3.0485 3.0485 9.8758
angles (deg): 90.00 90.00 90.00
Closest atoms and distances in Å follow each position.
Space group P4/mmm (No. 123)
Unique sites:
Pa (0.0000, 0.0000, 0.2392) (multiplicity 2)  4 Pa 3.05, 4 Nb 3.20, 4 Hg 3.36
Nb (0.5000, 0.5000, 0.0000) (multiplicity 1)  4 Nb 3.05, 8 Pa 3.20
Hg (0.5000, 0.5000, 0.5000) (multiplicity 1)  4 Hg 3.05, 8 Pa 3.36

Computed properties:
Energy of formation from the pure elements (eV per atom): 0.13
V (Å³ per atom): 22.94
Magnetization (Bohr magnetons per cell): 0.00
Energy relative to the lowest polymorph listed for this composition (meV per atom): 0



Entry 4:
NdU3Se8 after structural relaxation. Source: the Alexandria database, functional PBE-GGA.

a b c (Å): 8.3496 8.3496 13.0321
angles (deg): 90.00 90.00 120.00
Closest atoms and distances in Å follow each position.
Space group P6_3mc (No. 186)
Unique sites:
Nd (0.3333, 0.6667, 0.0000) (multiplicity 2)  6 Se 2.95-2.99
U (0.1678, 0.3355, 0.7291) (multiplicity 6)  6 Se 2.80-2.84
Se (0.0000, 0.0000, 0.3414) (multiplicity 2)  3 U 2.83
Se (0.0226, 0.5113, 0.8488) (multiplicity 6)  2 U 2.80, 1 Nd 2.99
Se (0.1560, 0.3121, 0.1119) (multiplicity 6)  2 U 2.80, 1 Nd 2.95
Se (0.3333, 0.6667, 0.6126) (multiplicity 2)  3 U 2.84

Computed properties:
Formation energy (no corrections) (meV per atom): -1226.1
V (Å³ per atom): 32.78
Magnetization (Bohr magnetons per cell): 10.00



Entry 5:
LiLaGe2Pt2 after structural relaxation. Source: the Alexandria database, functional PBE-GGA.

a b c (Å): 4.3769 4.3769 6.9050
angles (deg): 90.00 90.00 120.00
Closest atoms and distances in Å follow each position.
Space group P-3m1 (No. 164)
Unique sites:
Li (0.0000, 0.0000, 0.0000) (multiplicity 1)  6 Ge 2.85, 6 Pt 2.86
La (0.0000, 0.0000, 0.5000) (multiplicity 1)  6 Pt 3.29, 6 Ge 3.31, 2 Li 3.45
Ge (0.3333, 0.6667, 0.1915) (multiplicity 2)  4 Pt 2.53-2.66
Pt (0.3333, 0.6667, 0.8056) (multiplicity 2)  4 Ge 2.53-2.66

Computed properties:
Energy of formation from the pure elements (eV per atom): -0.90
V (Å³ per atom): 19.09
Magnetization (Bohr magnetons per cell): 0.00



Entry 6:
HoThCuPd after structural relaxation. Source: the Alexandria database, functional PBE-GGA.

a b c (Å): 4.5880 3.7344 10.7170
angles (deg): 90.00 90.00 90.00
Closest atoms and distances in Å follow each position.
Space group Amm2 (No. 38)
Unique sites:
Ho (0.0000, 0.0000, 0.0000) (multiplicity 2)  3 Cu 3.00-3.01, 4 Pd 3.03
Th (0.5000, 0.0000, 0.2804) (multiplicity 2)  3 Pd 3.00-3.01, 4 Cu 3.03
Cu (0.0000, 0.0000, 0.7198) (multiplicity 2)  2 Pd 2.86, 3 Ho 3.00-3.01, 4 Th 3.03
Pd (0.5000, 0.0000, 0.5612) (multiplicity 2)  2 Cu 2.86, 3 Th 3.00-3.01, 4 Ho 3.03

Computed properties:
Energy of formation from the pure elements (eV per atom): -0.51
V (Å³ per atom): 22.95
Magnetization (Bohr magnetons per cell): 0.00
Energy relative to the lowest polymorph listed for this composition (meV per atom): 0



Entry 7:
SrZrAg2 after structural relaxation. Source: the Alexandria database, functional PBE-GGA.

a b c (Å): 5.2955 5.2955 3.4275
angles (deg): 90.00 90.00 90.00
Closest atoms and distances in Å follow each position.
Space group P4/mmm (No. 123)
Unique sites:
Sr (0.0000, 0.0000, 0.0000) (multiplicity 1)  8 Ag 3.15, 2 Sr 3.43
Zr (0.5000, 0.5000, 0.0000) (multiplicity 1)  8 Ag 3.15, 2 Zr 3.43
Ag (0.0000, 0.5000, 0.5000) (multiplicity 2)  4 Zr 3.15, 4 Sr 3.15, 2 Ag 3.43

Computed properties:
Energy of formation from the pure elements (eV per atom): 0.05
V (Å³ per atom): 24.03
Magnetization (Bohr magnetons per cell): 0.45
Energy relative to the lowest polymorph listed for this composition (meV per atom): 96



Listing E for the structures above in their given order: -3.0494; -5.2223; -7.2129; -6.7685; -5.5901; -5.8312; -3.9352 eV/atom.